Record 1
{
  "formula": "ScNb3Pd",
  "functional": "meta-GGA SCAN",
  "state": "PBEsol geometry",
  "cell": [[4.8318, 0.0000, 0.0000], [0.0000, 4.8318, 0.0000], [0.0000, 0.0000, 4.8318]],
  "species": ["Sc", "Nb", "Nb", "Nb", "Pd"],
  "frac_coords": [[0.5000, 0.5000, 0.5000], [0.0000, 0.5000, 0.0000], [0.0000, 0.0000, 0.5000], [0.5000, 0.0000, 0.0000], [0.0000, 0.0000, 0.0000]],
  "mass_density_g_cm3": 6.3,
  "delta_e_f_ev_per_atom": 0.992,
  "magmom_total_mub_per_atom": 0.00
}


Record 2
{
  "formula": "Ta4Mo3",
  "functional": "meta-GGA SCAN",
  "state": "PBEsol geometry",
  "cell": [[-0.3407, -2.2558, 1.6459], [2.1424, 1.5834, 0.9038], [-10.7037, 8.4278, 7.7861]],
  "species": ["Mo", "Mo", "Mo", "Ta", "Ta", "Ta", "Ta"],
  "frac_coords": [[0.6418, 0.6418, 0.2836], [0.5000, 0.5000, 0.0000], [0.3582, 0.3582, 0.7164], [0.0709, 0.0709, 0.1418], [0.9291, 0.9291, 0.8582], [0.7878, 0.7878, 0.5757], [0.2122, 0.2122, 0.4243]],
  "mass_density_g_cm3": 14.5,
  "delta_e_f_ev_per_atom": -0.108,
  "magmom_total_mub_per_atom": 0.00,
  "e_above_lowest_polymorph_mev_per_atom": 41
}


Record 3
{
  "formula": "CaH2BrCl",
  "functional": "meta-GGA SCAN",
  "state": "PBEsol geometry",
  "cell": [[-1.9932, 2.5145, -2.5576], [-2.5741, -3.0405, -0.9831], [-3.2269, 1.4559, 3.9462]],
  "species": ["H", "H", "Ca", "Br", "Cl"],
  "frac_coords": [[0.0000, 0.5000, 0.0000], [0.5000, 0.0000, 0.0000], [0.0000, 0.0000, 0.5000], [0.5000, 0.5000, 0.5000], [0.0000, 0.0000, 0.0000]],
  "mass_density_g_cm3": 2.9,
  "final_energy_ev_per_atom": -9.18,
  "magmom_total_mub_per_atom": 0.03
}


Record 4
{
  "formula": "LiCdAs3",
  "functional": "meta-GGA SCAN",
  "state": "PBEsol geometry",
  "cell": [[5.1335, 0.0000, 0.0000], [0.0000, 5.1335, 0.0000], [0.0000, 0.0000, 5.1335]],
  "species": ["As", "As", "As", "Li", "Cd"],
  "frac_coords": [[0.0000, 0.5000, 0.0000], [0.0000, 0.0000, 0.5000], [0.5000, 0.0000, 0.0000], [0.5000, 0.5000, 0.5000], [0.0000, 0.0000, 0.0000]],
  "mass_density_g_cm3": 4.2,
  "delta_e_f_ev_per_atom": 0.713,
  "magmom_total_mub_per_atom": 0.00
}


Record 5
{
  "formula": "BaSr2Li",
  "functional": "meta-GGA SCAN",
  "state": "PBEsol geometry",
  "cell": [[6.3664, 0.0000, 0.0000], [3.1832, 5.5135, 0.0000], [3.1832, 1.8378, 5.1982]],
  "species": ["Sr", "Sr", "Ba", "Li"],
  "frac_coords": [[0.2500, 0.2500, 0.2500], [0.7500, 0.7500, 0.7500], [0.5000, 0.5000, 0.5000], [0.0000, 0.0000, 0.0000]],
  "mass_density_g_cm3": 2.9,
  "delta_e_f_ev_per_atom": 0.122,
  "magmom_total_mub_per_atom": 0.10,
  "e_above_lowest_polymorph_mev_per_atom": 110
}


Record 6
{
  "formula": "AlMoP3",
  "functional": "meta-GGA SCAN",
  "state": "PBEsol geometry",
  "cell": [[-3.3873, 0.2132, -2.9554], [-2.9588, -0.4842, 3.3563], [-0.1590, 4.4692, 0.5046]],
  "species": ["P", "P", "P", "Mo", "Al"],
  "frac_coords": [[0.0000, 0.5000, 0.0000], [0.0000, 0.0000, 0.5000], [0.5000, 0.0000, 0.0000], [0.5000, 0.5000, 0.5000], [0.0000, 0.0000, 0.0000]],
  "mass_density_g_cm3": 3.9,
  "delta_e_f_ev_per_atom": 1.054,
  "magmom_total_mub_per_atom": 0.66
}


Record 7
{
  "formula": "Hg2WBr",
  "functional": "meta-GGA SCAN",
  "state": "PBEsol geometry",
  "cell": [[4.8263, 0.0000, 0.0000], [2.4132, 4.1797, 0.0000], [2.4132, 1.3932, 3.9407]],
  "species": ["Br", "Hg", "Hg", "W"],
  "frac_coords": [[0.5000, 0.5000, 0.5000], [0.0000, 0.0000, 0.0000], [0.2500, 0.2500, 0.2500], [0.7500, 0.7500, 0.7500]],
  "mass_density_g_cm3": 13.9,
  "magmom_total_mub_per_atom": 0.72,
  "e_form_raw_ev_per_atom": 1.33,
  "e_above_lowest_polymorph_mev_per_atom": 534
}


Record 8
{
  "formula": "TcBAsBr2",
  "functional": "meta-GGA SCAN",
  "state": "PBEsol geometry",
  "cell": [[4.5229, 0.0000, 0.0000], [0.0000, 4.4936, 0.0000], [0.0000, 0.0000, 4.4936]],
  "species": ["As", "B", "Tc", "Br", "Br"],
  "frac_coords": [[0.5000, 0.0000, 0.0000], [0.0000, 0.0000, 0.0000], [0.5000, 0.5000, 0.5000], [0.0000, 0.0000, 0.5000], [0.0000, 0.5000, 0.0000]],
  "mass_density_g_cm3": 6.2,
  "magmom_total_mub_per_atom": 0.78,
  "e_form_raw_ev_per_atom": 1.23
}


Record 9
{
  "formula": "DyGa3B4O12",
  "functional": "meta-GGA SCAN",
  "state": "PBEsol geometry",
  "cell": [[6.0004, -0.0098, -0.0137], [-1.4661, 5.8186, -0.0137], [-1.4661, -1.8781, 5.5072]],
  "species": ["Dy", "Ga", "Ga", "Ga", "B", "B", "B", "B", "O", "O", "O", "O", "O", "O", "O", "O", "O", "O", "O", "O"],
  "frac_coords": [[0.5000, 0.5000, 0.5000], [0.9498, 0.5000, 0.0502], [0.5000, 0.0502, 0.9498], [0.0502, 0.9498, 0.5000], [0.5528, 0.0000, 0.4472], [0.0000, 0.4472, 0.5528], [0.4472, 0.5528, 0.0000], [0.0000, 0.0000, 0.0000], [0.5286, 0.1333, 0.2910], [0.1333, 0.2910, 0.5286], [0.8667, 0.4714, 0.7090], [0.2910, 0.5286, 0.1333], [0.7090, 0.8667, 0.4714], [0.4714, 0.7090, 0.8667], [0.1458, 0.0000, 0.8542], [0.0000, 0.8542, 0.1458], [0.8542, 0.1458, 0.0000], [0.4073, 0.0000, 0.5927], [0.0000, 0.5927, 0.4073], [0.5927, 0.4073, 0.0000]],
  "mass_density_g_cm3": 5.3,
  "magmom_total_mub_per_atom": 0.00,
  "e_form_raw_ev_per_atom": -2.61
}


Record 10
{
  "formula": "TcMo2Ru2",
  "functional": "meta-GGA SCAN",
  "state": "PBEsol geometry",
  "cell": [[3.6995, 0.0000, 0.0000], [0.0000, 3.6995, 0.0000], [-1.8498, -1.8498, 5.7681]],
  "species": ["Mo", "Mo", "Ru", "Ru", "Tc"],
  "frac_coords": [[0.2500, 0.7500, 0.5000], [0.7500, 0.2500, 0.5000], [0.5993, 0.5993, 0.1986], [0.4007, 0.4007, 0.8014], [0.0000, 0.0000, 0.0000]],
  "mass_density_g_cm3": 10.3,
  "delta_e_f_ev_per_atom": 0.771,
  "magmom_total_mub_per_atom": 0.00
}


Record 11
{
  "formula": "Mg3CrPb",
  "functional": "meta-GGA SCAN",
  "state": "PBEsol geometry",
  "cell": [[5.1359, 0.0000, 0.0000], [0.0000, 5.1359, 0.0000], [0.0000, 0.0000, 5.1359]],
  "species": ["Pb", "Cr", "Mg", "Mg", "Mg"],
  "frac_coords": [[0.5000, 0.5000, 0.5000], [0.0000, 0.0000, 0.0000], [0.0000, 0.5000, 0.0000], [0.0000, 0.0000, 0.5000], [0.5000, 0.0000, 0.0000]],
  "mass_density_g_cm3": 4.1,
  "delta_e_f_ev_per_atom": 0.554,
  "magmom_total_mub_per_atom": 0.91,
  "e_above_lowest_polymorph_mev_per_atom": 0
}


Record 12
{
  "formula": "Co3PdS",
  "functional": "meta-GGA SCAN",
  "state": "PBEsol geometry",
  "cell": [[-3.9721, 2.0661, 0.0034], [-0.3761, -0.7157, -4.4037], [-2.0316, -3.9071, 0.8085]],
  "species": ["S", "Co", "Co", "Co", "Pd"],
  "frac_coords": [[0.5000, 0.5000, 0.5000], [0.0000, 0.5000, 0.0000], [0.0000, 0.0000, 0.5000], [0.5000, 0.0000, 0.0000], [0.0000, 0.0000, 0.0000]],
  "mass_density_g_cm3": 5.8,
  "magmom_total_mub_per_atom": 1.41,
  "e_form_raw_ev_per_atom": 1.21
}


Record 13
{
  "formula": "Tl2AgPt",
  "functional": "meta-GGA SCAN",
  "state": "PBEsol geometry",
  "cell": [[-2.3790, 0.9071, -2.6245], [0.3402, -3.9265, -1.6655], [-2.8022, -2.0937, 4.3636]],
  "species": ["Tl", "Tl", "Ag", "Pt"],
  "frac_coords": [[0.9769, 0.0000, 0.9537], [0.2744, 0.5000, 0.5488], [0.7061, 0.0000, 0.4123], [0.5428, 0.5000, 0.0857]],
  "mass_density_g_cm3": 14.3,
  "delta_e_f_ev_per_atom": 0.090,
  "magmom_total_mub_per_atom": 0.00
}


Record 14
{
  "formula": "LiTl2Co",
  "functional": "meta-GGA SCAN",
  "state": "PBEsol geometry",
  "cell": [[3.8788, 0.0000, 0.0000], [0.0000, 3.8788, 0.0000], [-1.9394, -1.9394, 4.6240]],
  "species": ["Co", "Li", "Tl", "Tl"],
  "frac_coords": [[0.5000, 0.5000, 0.0000], [0.2500, 0.7500, 0.5000], [0.0000, 0.0000, 0.0000], [0.7500, 0.2500, 0.5000]],
  "mass_density_g_cm3": 11.3,
  "delta_e_f_ev_per_atom": 0.267,
  "magmom_total_mub_per_atom": 0.35
}


Record 15
{
  "formula": "LaW9O28",
  "functional": "meta-GGA SCAN",
  "state": "PBEsol geometry",
  "cell": [[-0.5382, -3.3144, 1.9955], [10.9995, 1.9544, 6.2127], [-10.9299, 4.6308, 4.7434]],
  "species": ["La", "W", "W", "W", "W", "W", "W", "W", "W", "W", "O", "O", "O", "O", "O", "O", "O", "O", "O", "O", "O", "O", "O", "O", "O", "O", "O", "O", "O", "O", "O", "O", "O", "O", "O", "O", "O", "O"],
  "frac_coords": [[0.0318, 0.0000, 0.0000], [0.0529, 0.5000, 0.0000], [0.9604, 0.1680, 0.8320], [0.9604, 0.6639, 0.8320], [0.0529, 0.5000, 0.5000], [0.0529, 0.0000, 0.5000], [0.9604, 0.1680, 0.3361], [0.9604, 0.3361, 0.1680], [0.9604, 0.8320, 0.1680], [0.9604, 0.8320, 0.6639], [0.0044, 0.6668, 0.1182], [0.0044, 0.4514, 0.1182], [0.5151, 0.5000, 0.0000], [0.0044, 0.3332, 0.8818], [0.0044, 0.5486, 0.8818], [0.4957, 0.1672, 0.8328], [0.4957, 0.6656, 0.8328], [0.0044, 0.5486, 0.6668], [0.0044, 0.1182, 0.6668], [0.0044, 0.6668, 0.5486], [0.0044, 0.8818, 0.5486], [0.5151, 0.5000, 0.5000], [0.5151, 0.0000, 0.5000], [0.0044, 0.1182, 0.4514], [0.0044, 0.3332, 0.4514], [0.4957, 0.1672, 0.3344], [0.0044, 0.4514, 0.3332], [0.0044, 0.8818, 0.3332], [0.9985, 0.2088, 0.2088], [0.9985, 0.0000, 0.2088], [0.4957, 0.3344, 0.1672], [0.4957, 0.8328, 0.1672], [0.9985, 0.2088, 0.0000], [0.5318, 0.0000, 0.0000], [0.9985, 0.7912, 0.0000], [0.9985, 0.0000, 0.7912], [0.9985, 0.7912, 0.7912], [0.4957, 0.8328, 0.6656]],
  "mass_density_g_cm3": 6.7,
  "magmom_total_mub_per_atom": 0.00,
  "e_form_raw_ev_per_atom": -2.30
}


Record 16
{
  "formula": "Li2SiCl",
  "functional": "meta-GGA SCAN",
  "state": "PBEsol geometry",
  "cell": [[-0.3923, -0.5109, -3.0831], [-2.8506, -0.7262, -1.1258], [-2.5263, 6.8376, -2.4203]],
  "species": ["Si", "Li", "Li", "Cl"],
  "frac_coords": [[0.0000, 0.0000, 0.0000], [0.7644, 0.7644, 0.7068], [0.2356, 0.2356, 0.2932], [0.5000, 0.5000, 0.5000]],
  "mass_density_g_cm3": 2.0,
  "magmom_total_mub_per_atom": 0.00,
  "e_form_raw_ev_per_atom": -0.74,
  "e_above_lowest_polymorph_mev_per_atom": 0
}


Record 17
{
  "formula": "CuNiPO2",
  "functional": "meta-GGA SCAN",
  "state": "PBEsol geometry",
  "cell": [[-1.4917, 3.1554, -0.6260], [-3.1026, -1.5935, -0.6390], [-1.1602, 0.3808, 4.6841]],
  "species": ["Ni", "O", "O", "Cu", "P"],
  "frac_coords": [[0.5000, 0.5000, 0.5000], [0.0000, 0.5000, 0.0000], [0.5000, 0.0000, 0.0000], [0.0000, 0.0000, 0.0000], [0.0000, 0.0000, 0.5000]],
  "mass_density_g_cm3": 5.1,
  "magmom_total_mub_per_atom": 0.41,
  "e_form_raw_ev_per_atom": 0.31
}


Record 18
{
  "formula": "AlIr2Pb",
  "functional": "meta-GGA SCAN",
  "state": "PBEsol geometry",
  "cell": [[3.8426, 0.0000, 0.0000], [0.0000, 3.8426, 0.0000], [-1.9213, -1.9213, 4.3830]],
  "species": ["Pb", "Ir", "Ir", "Al"],
  "frac_coords": [[0.5000, 0.5000, 0.0000], [0.0000, 0.0000, 0.0000], [0.7500, 0.2500, 0.5000], [0.2500, 0.7500, 0.5000]],
  "mass_density_g_cm3": 15.9,
  "delta_e_f_ev_per_atom": 0.182,
  "magmom_total_mub_per_atom": 0.00,
  "e_above_lowest_polymorph_mev_per_atom": 167
}


Record 19
{
  "formula": "Li2MgRh",
  "functional": "meta-GGA SCAN",
  "state": "PBEsol geometry",
  "cell": [[3.6547, 0.0000, 0.0000], [0.0000, 3.6547, 0.0000], [-1.8274, -1.8274, 9.4365]],
  "species": ["Mg", "Mg", "Rh", "Rh", "Li", "Li", "Li", "Li"],
  "frac_coords": [[0.7500, 0.2500, 0.5000], [0.5000, 0.5000, 0.0000], [0.2500, 0.7500, 0.5000], [0.0000, 0.0000, 0.0000], [0.9006, 0.3750, 0.2500], [0.3494, 0.8750, 0.2500], [0.6250, 0.6506, 0.7500], [0.1250, 0.0994, 0.7500]],
  "mass_density_g_cm3": 3.7,
  "delta_e_f_ev_per_atom": -0.078,
  "magmom_total_mub_per_atom": 0.00
}


Record 20
{
  "formula": "CaMg2Re",
  "functional": "meta-GGA SCAN",
  "state": "PBEsol geometry",
  "cell": [[-1.8934, 4.3899, -0.4770], [-4.3042, 0.9789, 1.8972], [-0.3399, 2.8974, 3.8175]],
  "species": ["Ca", "Mg", "Mg", "Re"],
  "frac_coords": [[0.0000, 0.0000, 0.0000], [0.2500, 0.2500, 0.2500], [0.7500, 0.7500, 0.7500], [0.5000, 0.5000, 0.5000]],
  "mass_density_g_cm3": 5.8,
  "delta_e_f_ev_per_atom": 0.535,
  "magmom_total_mub_per_atom": 0.20,
  "e_above_lowest_polymorph_mev_per_atom": 0
}


Record 21
{
  "formula": "Zr5TePb3",
  "functional": "meta-GGA SCAN",
  "state": "PBEsol geometry",
  "cell": [[6.0929, 0.0000, 0.0000], [0.0000, 8.7531, 0.0000], [0.0000, -4.3765, 7.5804]],
  "species": ["Zr", "Zr", "Zr", "Zr", "Zr", "Zr", "Zr", "Zr", "Zr", "Zr", "Te", "Te", "Pb", "Pb", "Pb", "Pb", "Pb", "Pb"],
  "frac_coords": [[0.5000, 0.6667, 0.3333], [0.5000, 0.3333, 0.6667], [0.0000, 0.3333, 0.6667], [0.0000, 0.6667, 0.3333], [0.7500, 0.2772, 0.2772], [0.7500, 0.0000, 0.7228], [0.7500, 0.7228, 0.0000], [0.2500, 0.7228, 0.7228], [0.2500, 0.0000, 0.2772], [0.2500, 0.2772, 0.0000], [0.5000, 0.0000, 0.0000], [0.0000, 0.0000, 0.0000], [0.7500, 0.6118, 0.6118], [0.7500, 0.0000, 0.3882], [0.7500, 0.3882, 0.0000], [0.2500, 0.3882, 0.3882], [0.2500, 0.0000, 0.6118], [0.2500, 0.6118, 0.0000]],
  "mass_density_g_cm3": 9.9,
  "magmom_total_mub_per_atom": 0.00,
  "e_form_raw_ev_per_atom": -0.58
}


Record 22
{
  "formula": "BaAs2",
  "functional": "meta-GGA SCAN",
  "state": "PBEsol geometry",
  "cell": [[4.5591, 0.0000, 0.0000], [-2.2795, 3.9554, 0.0116], [0.0000, -0.0349, 9.2516]],
  "species": ["As", "As", "As", "As", "Ba", "Ba"],
  "frac_coords": [[0.1716, 0.3431, 0.0183], [0.8284, 0.6569, 0.9817], [0.1622, 0.3243, 0.5184], [0.8378, 0.6757, 0.4816], [0.5030, 0.0059, 0.2500], [0.4970, 0.9941, 0.7500]],
  "mass_density_g_cm3": 5.7,
  "delta_e_f_ev_per_atom": -0.898,
  "magmom_total_mub_per_atom": 0.00
}


Record 23
{
  "formula": "TlIr3Os",
  "functional": "meta-GGA SCAN",
  "state": "PBEsol geometry",
  "cell": [[4.7964, 0.0000, 0.0000], [0.0000, 4.7964, 0.0000], [0.0000, 0.0000, 4.7964]],
  "species": ["Tl", "Ir", "Ir", "Ir", "Os"],
  "frac_coords": [[0.0000, 0.0000, 0.0000], [0.0000, 0.5000, 0.0000], [0.0000, 0.0000, 0.5000], [0.5000, 0.0000, 0.0000], [0.5000, 0.5000, 0.5000]],
  "mass_density_g_cm3": 14.6,
  "delta_e_f_ev_per_atom": 3.382,
  "magmom_total_mub_per_atom": 1.25
}


Record 24
{
  "formula": "Rb3ErF6",
  "functional": "meta-GGA SCAN",
  "state": "PBEsol geometry",
  "cell": [[6.6783, 0.0000, 0.0000], [3.3392, 5.7836, 0.0000], [3.3392, 1.9279, 5.4528]],
  "species": ["F", "F", "F", "F", "F", "F", "Rb", "Rb", "Rb", "Er"],
  "frac_coords": [[0.2250, 0.7750, 0.2250], [0.2250, 0.2250, 0.7750], [0.7750, 0.7750, 0.2250], [0.2250, 0.7750, 0.7750], [0.7750, 0.2250, 0.7750], [0.7750, 0.2250, 0.2250], [0.7500, 0.7500, 0.7500], [0.2500, 0.2500, 0.2500], [0.5000, 0.5000, 0.5000], [0.0000, 0.0000, 0.0000]],
  "mass_density_g_cm3": 4.2,
  "magmom_total_mub_per_atom": 0.02,
  "e_form_raw_ev_per_atom": -3.49
}


Record 25
{
  "formula": "TiOs3F",
  "functional": "meta-GGA SCAN",
  "state": "PBEsol geometry",
  "cell": [[4.1431, 0.0000, 0.0000], [0.0000, 4.1431, 0.0000], [0.0000, 0.0000, 4.1431]],
  "species": ["F", "Os", "Os", "Os", "Ti"],
  "frac_coords": [[0.0000, 0.0000, 0.0000], [0.0000, 0.5000, 0.0000], [0.0000, 0.0000, 0.5000], [0.5000, 0.0000, 0.0000], [0.5000, 0.5000, 0.5000]],
  "mass_density_g_cm3": 14.9,
  "magmom_total_mub_per_atom": 0.00,
  "e_form_raw_ev_per_atom": 1.15
}